Entry 1:
TmMn2Ga8 after structural relaxation. Source: the Alexandria database, functional PBE.

- Energy of formation: -115 meV per atom
- Volume: 197.0 Å³ per cell
- Crystal system: monoclinic
- Symmetry: C2/m, No. 12
- Fermi-level density of states: 0.493 states/eV/atom

```
TmMn2Ga8
1.0
-4.114 2.221 -0.248
0.640 -0.067 6.580
3.927 5.128 -1.409
Ga Tm Mn
8 1 2
Direct
0.890 0.649 0.911
0.742 0.369 0.369
0.500 0.705 0.295
0.258 0.631 0.631
0.110 0.351 0.089
0.890 0.911 0.649
0.110 0.089 0.351
0.500 0.295 0.705
0.500 0.000 0.000
0.000 0.290 0.710
0.000 0.710 0.290
```

---

Entry 2:
CsCeSe4 after structural relaxation. Source: the Alexandria database, functional PBE.

- Volume: 376.7 Å³ per cell
- Crystal system: tetragonal
- Symmetry: P4/nbm, No. 125
- Uncorrected formation energy: -1.15 eV/atom
- Fermi-level density of states: 1.083 states/eV/atom

```
CsCeSe4
1.0
-2.454 1.931 -5.617
-5.892 -1.558 2.038
-1.064 8.416 3.358
Cs Se Ce
2 8 2
Direct
0.500 0.500 0.500
0.000 0.000 0.500
0.364 0.136 0.192
0.864 0.636 0.808
0.364 0.864 0.808
0.136 0.636 0.192
0.636 0.136 0.808
0.636 0.864 0.192
0.864 0.364 0.192
0.136 0.364 0.808
0.500 0.500 0.000
0.000 0.000 0.000
```

---

Entry 3:
Pm2Y2Cu after structural relaxation. Source: the Alexandria database, functional PBE.

- Energy of formation: -70 meV per atom
- Volume: 143.9 Å³ per cell
- Crystal system: tetragonal
- Symmetry: I4/mmm, No. 139
- Fermi-level density of states: 1.401 states/eV/atom

```
Pm2Y2Cu
1.0
-0.312 0.400 3.509
3.062 -1.724 0.469
4.309 10.585 -2.614
Pm Cu Y
2 1 2
Direct
0.807 0.807 0.614
0.193 0.193 0.386
0.000 0.000 0.000
0.426 0.426 0.852
0.574 0.574 0.148
```

---

Entry 4:
UAgI2 after structural relaxation. Source: the Alexandria database, functional PBE.

- Volume: 133.3 Å³ per cell
- Crystal system: trigonal
- Symmetry: R-3m, No. 166
- Uncorrected formation energy: 0.27 eV/atom
- Fermi-level density of states: 2.544 states/eV/atom

```
UAgI2
1.0
-1.217 3.727 -0.022
-1.522 1.546 -3.266
-10.040 -1.204 1.755
I U Ag
2 1 1
Direct
0.101 0.101 0.696
0.899 0.899 0.304
0.000 0.000 0.000
0.500 0.500 0.500
```

---

Entry 5:
Hf2InAg after structural relaxation. Source: the Alexandria database, functional PBE.

- Energy of formation: -56 meV per atom
- Volume: 82.3 Å³ per cell
- Crystal system: tetragonal
- Symmetry: P4/mmm, No. 123
- Fermi-level density of states: 0.845 states/eV/atom

```
Hf2InAg
1.0
-0.070 3.100 0.129
-0.079 -0.130 3.100
8.540 0.183 0.226
Ag In Hf
1 1 2
Direct
0.500 0.500 0.000
0.500 0.500 0.500
0.000 0.000 0.241
0.000 0.000 0.759
```

---

Entry 6:
IrC after structural relaxation. Source: the Alexandria database, functional PBE.

- Relative energy among the computed polymorphs: 2063 meV/atom
- Energy of formation: 2521 meV per atom
- Volume: 47.1 Å³ per cell
- Crystal system: cubic
- Symmetry: Fd-3m, No. 227
- Fermi-level density of states: 1.208 states/eV/atom

```
IrC
1.0
4.054 0.000 0.000
2.027 3.511 0.000
2.027 1.170 3.310
C Ir
2 2
Direct
0.000 0.000 0.000
0.250 0.250 0.250
0.750 0.750 0.750
0.500 0.500 0.500
```

---

Entry 7:
U2PaSb after structural relaxation. Source: the Alexandria database, functional PBE.

- Relative energy among the computed polymorphs: 359 meV/atom
- Volume: 92.4 Å³ per cell
- Crystal system: cubic
- Symmetry: Fm-3m, No. 225
- Uncorrected formation energy: 0.19 eV/atom
- Fermi-level density of states: 3.181 states/eV/atom

```
U2PaSb
1.0
5.073 0.000 0.000
2.536 4.393 0.000
2.536 1.464 4.146
Sb U Pa
1 2 1
Direct
0.000 0.000 0.000
0.750 0.750 0.749
0.250 0.250 0.251
0.500 0.500 0.500
```

---

Entry 8:
K2AgSnO4 after structural relaxation. Source: the Alexandria database, functional PBE.

- Volume: 144.1 Å³ per cell
- Crystal system: tetragonal
- Symmetry: I-4, No. 82
- Uncorrected formation energy: -1.14 eV/atom
- Fermi-level density of states: 0.030 states/eV/atom

```
K2AgSnO4
1.0
5.734 0.123 0.189
-2.332 5.240 -0.189
-2.332 -2.282 4.721
K O Sn Ag
2 4 1 1
Direct
0.500 0.750 0.250
0.000 0.000 0.000
0.861 0.565 0.117
0.139 0.256 0.704
0.448 0.883 0.744
0.552 0.296 0.435
0.500 0.250 0.750
0.000 0.500 0.500
```

---

Entry 9:
CaMg2Zn2Si2 after structural relaxation. Source: the Alexandria database, functional PBE.

- Volume: 136.3 Å³ per cell
- Crystal system: trigonal
- Symmetry: R-3m, No. 166
- Uncorrected formation energy: -0.17 eV/atom
- Fermi-level density of states: 0.302 states/eV/atom

```
CaMg2Zn2Si2
1.0
-0.161 -2.081 -3.835
-0.059 -4.364 -0.115
-8.322 -2.044 -1.026
Ca Zn Si Mg
1 2 2 2
Direct
0.000 0.000 0.000
0.413 0.413 0.761
0.587 0.587 0.239
0.750 0.750 0.751
0.250 0.250 0.249
0.136 0.136 0.592
0.864 0.864 0.408
```

---

Entry 10:
SmErTlAu after structural relaxation. Source: the Alexandria database, functional PBE.

- Relative energy among the computed polymorphs: 0 meV/atom
- Energy of formation: -605 meV per atom
- Volume: 103.1 Å³ per cell
- Crystal system: tetragonal
- Symmetry: P4mm, No. 99
- Fermi-level density of states: 0.585 states/eV/atom

```
SmErTlAu
1.0
3.640 0.000 0.000
0.000 3.640 0.000
0.000 0.000 7.778
Er Tl Sm Au
1 1 1 1
Direct
0.500 0.500 0.581
0.000 0.000 0.847
0.500 0.500 0.122
0.000 0.000 0.378
```

---

Entry 11:
RbMoP3 after structural relaxation. Source: the Alexandria database, functional PBE.

- Relative energy among the computed polymorphs: 0 meV/atom
- Energy of formation: 97 meV per atom
- Volume: 112.3 Å³ per cell
- Crystal system: cubic
- Symmetry: Pm-3m, No. 221
- Fermi-level density of states: 0.800 states/eV/atom

```
RbMoP3
1.0
4.825 0.000 0.000
0.000 4.825 0.000
0.000 0.000 4.825
Rb Mo P
1 1 3
Direct
0.500 0.500 0.500
0.000 0.000 0.000
0.000 0.000 0.500
0.500 0.000 0.000
0.000 0.500 0.000
```

---

Entry 12:
SiGeBi2Au after structural relaxation. Source: the Alexandria database, functional PBE.

- Volume: 143.8 Å³ per cell
- Crystal system: tetragonal
- Symmetry: P4/mmm, No. 123
- Uncorrected formation energy: 0.81 eV/atom
- Fermi-level density of states: 0.795 states/eV/atom

```
SiGeBi2Au
1.0
5.537 0.000 0.000
0.000 4.691 0.000
0.000 0.000 5.537
Si Bi Ge Au
1 2 1 1
Direct
0.000 0.500 0.000
0.500 0.000 0.000
0.000 0.000 0.500
0.000 0.000 0.000
0.500 0.500 0.500
```